(1)
TlCrSiSe4 (GGA-PBE, relaxed); crystal system = monoclinic; spin magnetization = 2.998 μB per formula unit; uncorrected formation energy = -361 meV/atom; E_tot = -67.75 eV per cell; DOS(E_F) = 2.66 states/eV/cell
1.0
6.354 0.000 0.000
0.000 6.913 0.000
-3.062 0.000 8.439
Tl Cr Si Se
2 2 2 8
direct
0.244 0.250 0.045 Tl
0.756 0.750 0.955 Tl
0.210 0.250 0.557 Cr
0.790 0.750 0.443 Cr
0.237 0.750 0.345 Si
0.763 0.250 0.655 Si
0.020 0.003 0.688 Se
0.020 0.497 0.688 Se
0.441 0.750 0.181 Se
0.489 0.250 0.416 Se
0.511 0.750 0.584 Se
0.559 0.250 0.819 Se
0.980 0.503 0.312 Se
0.980 0.997 0.312 Se

(2)
VCrSiSe2 (GGA-PBE, relaxed); crystal system = tetragonal; spin magnetization = 0.000 μB per formula unit; uncorrected formation energy = 807 meV/atom; E_tot = -27.10 eV per cell; DOS(E_F) = 6.37 states/eV/cell
1.0
4.625 0.000 0.000
0.000 4.625 0.000
0.000 0.000 4.480
V Cr Si Se
1 1 1 2
direct
0.000 0.000 0.000 V
0.000 0.000 0.500 Cr
0.500 0.500 0.000 Si
0.000 0.500 0.500 Se
0.500 0.000 0.500 Se

(3)
Sm3Cr5Se12 (GGA-PBE, relaxed); crystal system = cubic; spin magnetization = 15.000 μB per formula unit; uncorrected formation energy = -893 meV/atom; E_tot = -487.82 eV per cell; DOS(E_F) = 41.71 states/eV/cell
1.0
-7.890 7.890 7.890
7.890 -7.890 7.890
7.890 7.890 -7.890
Sm Cr Se
12 20 48
direct
0.125 0.250 0.375 Sm
0.125 0.375 0.750 Sm
0.250 0.375 0.125 Sm
0.250 0.875 0.625 Sm
0.375 0.125 0.250 Sm
0.375 0.750 0.125 Sm
0.625 0.250 0.875 Sm
0.625 0.875 0.750 Sm
0.750 0.125 0.375 Sm
0.750 0.625 0.875 Sm
0.875 0.625 0.250 Sm
0.875 0.750 0.625 Sm
0.000 0.000 0.000 Cr
0.000 0.000 0.500 Cr
0.000 0.500 0.000 Cr
0.000 0.500 0.500 Cr
0.125 0.750 0.875 Cr
0.125 0.875 0.250 Cr
0.250 0.125 0.875 Cr
0.250 0.625 0.375 Cr
0.375 0.250 0.625 Cr
0.375 0.625 0.750 Cr
0.500 0.000 0.000 Cr
0.500 0.000 0.500 Cr
0.500 0.500 0.000 Cr
0.500 0.500 0.500 Cr
0.625 0.375 0.250 Cr
0.625 0.750 0.375 Cr
0.750 0.375 0.625 Cr
0.750 0.875 0.125 Cr
0.875 0.125 0.750 Cr
0.875 0.250 0.125 Cr
0.029 0.207 0.120 Se
0.029 0.323 0.910 Se
0.087 0.707 0.677 Se
0.087 0.880 0.410 Se
0.090 0.620 0.413 Se
0.090 0.971 0.677 Se
0.120 0.029 0.207 Se
0.120 0.590 0.913 Se
0.177 0.207 0.587 Se
0.177 0.471 0.590 Se
0.207 0.120 0.029 Se
0.207 0.587 0.177 Se
0.293 0.323 0.913 Se
0.293 0.471 0.380 Se
0.323 0.910 0.029 Se
0.323 0.913 0.293 Se
0.380 0.293 0.471 Se
0.380 0.587 0.910 Se
0.410 0.087 0.880 Se
0.410 0.823 0.529 Se
0.413 0.090 0.620 Se
0.413 0.823 0.793 Se
0.471 0.380 0.293 Se
0.471 0.590 0.177 Se
0.529 0.410 0.823 Se
0.529 0.620 0.707 Se
0.587 0.177 0.207 Se
0.587 0.910 0.380 Se
0.590 0.177 0.471 Se
0.590 0.913 0.120 Se
0.620 0.413 0.090 Se
0.620 0.707 0.529 Se
0.677 0.087 0.707 Se
0.677 0.090 0.971 Se
0.707 0.529 0.620 Se
0.707 0.677 0.087 Se
0.793 0.413 0.823 Se
0.793 0.880 0.971 Se
0.823 0.529 0.410 Se
0.823 0.793 0.413 Se
0.880 0.410 0.087 Se
0.880 0.971 0.793 Se
0.910 0.029 0.323 Se
0.910 0.380 0.587 Se
0.913 0.120 0.590 Se
0.913 0.293 0.323 Se
0.971 0.677 0.090 Se
0.971 0.793 0.880 Se

(4)
Sm3CrSe6 (GGA-PBE, relaxed); crystal system = orthorhombic; spin magnetization = 3.000 μB per formula unit; uncorrected formation energy = -1551 meV/atom; E_tot = -240.80 eV per cell; DOS(E_F) = 0.63 states/eV/cell
1.0
14.179 0.000 0.000
0.000 16.915 0.000
0.000 0.000 4.017
Sm Cr Se
12 4 24
direct
0.054 0.221 0.000 Sm
0.179 0.648 0.000 Sm
0.240 0.905 0.500 Sm
0.260 0.405 0.000 Sm
0.321 0.148 0.500 Sm
0.446 0.721 0.500 Sm
0.554 0.279 0.500 Sm
0.679 0.852 0.500 Sm
0.740 0.595 0.000 Sm
0.760 0.095 0.500 Sm
0.821 0.352 0.000 Sm
0.946 0.779 0.000 Sm
0.000 0.000 0.500 Cr
0.000 0.500 0.500 Cr
0.500 0.000 0.000 Cr
0.500 0.500 0.000 Cr
0.024 0.404 0.000 Se
0.078 0.924 0.000 Se
0.101 0.756 0.500 Se
0.122 0.106 0.500 Se
0.179 0.520 0.500 Se
0.191 0.290 0.500 Se
0.309 0.790 0.000 Se
0.321 0.020 0.000 Se
0.378 0.606 0.000 Se
0.399 0.256 0.000 Se
0.422 0.424 0.500 Se
0.476 0.904 0.500 Se
0.524 0.096 0.500 Se
0.578 0.576 0.500 Se
0.601 0.744 0.000 Se
0.622 0.394 0.000 Se
0.679 0.980 0.000 Se
0.691 0.210 0.000 Se
0.809 0.710 0.500 Se
0.821 0.480 0.500 Se
0.878 0.894 0.500 Se
0.899 0.244 0.500 Se
0.922 0.076 0.000 Se
0.976 0.596 0.000 Se

(5)
Sm3Tl4CrSe8 (GGA-PBE, relaxed); crystal system = trigonal; spin magnetization = 3.021 μB per formula unit; uncorrected formation energy = -1103 meV/atom; E_tot = -78.78 eV per cell; DOS(E_F) = 0.94 states/eV/cell
1.0
4.161 2.402 7.745
-4.161 2.402 7.745
0.000 -4.805 7.745
Sm Tl Cr Se
3 4 1 8
direct
0.000 0.500 0.500 Sm
0.500 0.000 0.500 Sm
0.500 0.500 0.000 Sm
0.000 0.000 0.500 Tl
0.000 0.500 0.000 Tl
0.500 0.000 0.000 Tl
0.500 0.500 0.500 Tl
0.000 0.000 0.000 Cr
0.219 0.219 0.759 Se
0.219 0.759 0.219 Se
0.241 0.781 0.781 Se
0.262 0.262 0.262 Se
0.738 0.738 0.738 Se
0.759 0.219 0.219 Se
0.781 0.241 0.781 Se
0.781 0.781 0.241 Se

(6)
Sm2Tl3CrSe6 (GGA-PBE, relaxed); crystal system = monoclinic; spin magnetization = 3.005 μB per formula unit; uncorrected formation energy = -1032 meV/atom; E_tot = -59.46 eV per cell; DOS(E_F) = 0.27 states/eV/cell
1.0
3.568 -6.170 0.000
3.568 6.170 0.000
-2.369 0.000 7.722
Sm Tl Cr Se
2 3 1 6
direct
0.166 0.834 0.000 Sm
0.834 0.166 0.000 Sm
0.000 0.000 0.500 Tl
0.324 0.676 0.500 Tl
0.676 0.324 0.500 Tl
0.500 0.500 0.000 Cr
0.133 0.435 0.804 Se
0.266 0.266 0.206 Se
0.435 0.133 0.804 Se
0.565 0.867 0.196 Se
0.734 0.734 0.794 Se
0.867 0.565 0.196 Se